Material: YHo2Tm10
Method: DFT, PBE
State: optimized geometry

a = 11.408 Å, b = 9.017 Å, c = 8.347 Å
α = 82.05°, β = 51.52°, γ = 46.44°
Fractional positions:
Y (0.000, 0.000, 0.000)
Ho (0.000, 0.000, 0.500)
Ho (0.500, 0.500, 0.000)
Tm (0.000, 0.500, 0.000)
Tm (0.011, 0.649, 0.351)
Tm (0.294, 0.501, 0.499)
Tm (0.351, 0.989, 0.011)
Tm (0.499, 0.706, 0.294)
Tm (0.500, 0.000, 0.500)
Tm (0.501, 0.294, 0.706)
Tm (0.649, 0.011, 0.989)
Tm (0.706, 0.499, 0.501)
Tm (0.989, 0.351, 0.649)

VASP energy	-4.3564	eV/atom
D(E_F)	27.87	states/eV per cell
volume	32.17	Å³/atom
calculated formation energy	0.2847	eV per atom
mass density	8.4	g cm⁻³